Density functional theory data (GGA-PBE) for an optimized crystal structure of Er2ScZn2.

a b c (Å): 6.065 6.065 6.065
angles (deg): 143.65 114.68 77.12
Positions (direct):
Er1 0.213 0.213 0.000
Er2 0.787 0.787 0.000
Sc1 0.500 0.000 0.500
Zn1 0.196 0.500 0.696
Zn2 0.804 0.500 0.304

Computed properties:
V: 23.49 Å³ per atom
E_form: -0.19 eV per atom
E above lowest polymorph: 68 meV per atom
total energy: -3.787 eV/atom

***

Density functional theory data (GGA-PBE) for an optimized crystal structure of ErSc3Zn2.

a b c (Å): 4.722 8.567 6.467
angles (deg): 90.00 90.00 90.00
Positions (direct):
Er1 0.000 0.053 0.000
Er2 0.000 0.947 0.500
Sc1 0.000 0.330 0.652
Sc2 0.000 0.670 0.152
Sc3 0.500 0.187 0.314
Sc4 0.500 0.447 0.961
Sc5 0.500 0.553 0.461
Sc6 0.500 0.813 0.814
Zn1 0.000 0.355 0.217
Zn2 0.000 0.645 0.717
Zn3 0.500 0.150 0.745
Zn4 0.500 0.850 0.245

Computed properties:
V: 21.80 Å³ per atom
E_form: -0.24 eV per atom
total energy: -4.595 eV/atom

***

Density functional theory data (GGA-PBE) for an optimized crystal structure of ErScZn10.

a b c (Å): 4.206 5.238 9.037
angles (deg): 90.00 90.00 90.00
Positions (direct):
Er1 0.000 0.000 0.000
Sc1 0.000 0.500 0.500
Zn1 0.000 0.000 0.339
Zn2 0.000 0.000 0.661
Zn3 0.000 0.500 0.172
Zn4 0.000 0.500 0.828
Zn5 0.500 0.000 0.500
Zn6 0.500 0.250 0.251
Zn7 0.500 0.250 0.749
Zn8 0.500 0.500 0.000
Zn9 0.500 0.750 0.251
Zn10 0.500 0.750 0.749

Computed properties:
V: 16.59 Å³ per atom
E_form: -0.23 eV per atom
total energy: -2.200 eV/atom

***

Density functional theory data (GGA-PBE) for an optimized crystal structure of Er3Sc2Zn3.

a b c (Å): 10.801 10.801 10.801
angles (deg): 161.37 153.13 32.90
Positions (direct):
Er1 0.000 0.000 0.000
Er2 0.378 0.878 0.500
Er3 0.622 0.122 0.500
Sc1 0.232 0.232 0.000
Sc2 0.768 0.768 0.000
Zn1 0.121 0.621 0.500
Zn2 0.500 0.500 0.000
Zn3 0.879 0.379 0.500

Computed properties:
V: 22.73 Å³ per atom
E_form: -0.26 eV per atom
total energy: -4.035 eV/atom

***

- Which formula does entry 4 have?
  Er3Sc2Zn3

***

- Which value of V does entry 2 give?
  21.80 Å³ per atom